This record from the Alexandria database describes Ag2PtBr after structural relaxation. The functional is PBE.

The calculation puts the uncorrected formation energy at 350.4 meV/atom.

abc: 7.7338 7.7338 5.5190
angles: 90.00 90.00 90.00
With the nearest neighbours (Å) after each atom.
Space group I-42d (No. 122)
Asymmetric unit:
Ag (0.2380, 0.7500, 0.1250)  2 Pt 2.76, 2 Ag 2.77, 2 Br 2.88
Pt (0.0000, 0.0000, 0.0000)  4 Ag 2.76, 2 Br 2.76
Br (0.0000, 0.0000, 0.5000)  2 Pt 2.76, 4 Ag 2.88

***

This record from the Alexandria database describes NaErTl after structural relaxation. The functional is PBE.

Its formation energy is -2 kJ per mole of atoms.

abc: 5.2797 5.2797 3.3813
angles: 90.00 90.00 120.00
With the nearest neighbours (Å) after each atom.
Space group P3m1 (No. 156)
Asymmetric unit:
Na (0.0000, 0.0000, 0.0000)  3 Tl 3.05, 2 Na 3.38
Er (0.6667, 0.3333, 0.4981)  2 Er 3.38, 6 Tl 3.48-3.49, 6 Na 3.48-3.49
Tl (0.3333, 0.6667, 0.9951)  3 Na 3.05, 2 Tl 3.38

***

This record from the Alexandria database describes CsVH2Cl8 after structural relaxation. The functional is PBE.

Its raw total energy is -43.5 eV per formula unit.

abc: 6.7433 6.7581 9.5133
angles: 75.41 74.57 61.77
With the nearest neighbours (Å) after each atom.
Space group P-1 (No. 2)
Asymmetric unit:
Cs (0.0000, 0.0000, 0.0000)  6 Cl 3.55-3.96
V (0.0000, 0.0000, 0.5000)  6 Cl 2.27-2.30
H (0.2710, 0.2770, 0.2218)  1 Cl 1.33
Cl (0.2058, 0.2087, 0.4486)  1 H 2.06, 1 V 2.30
Cl (0.2198, 0.7550, 0.6694)  1 V 2.27
Cl (0.2480, 0.7838, 0.3247)  1 V 2.27
Cl (0.3158, 0.3204, 0.0754)  1 H 1.33